Below is a crystal of Er3Cu4Sn4 relaxed with PBEsol, with properties calculated at the meta-GGA SCAN level.

## Properties
**Formation energy**: -0.574 eV per atom
**Magnetic moment**: 0.0 μB per cell
**Theoretical density**: 9.51 g/cm³
**Final energy**: -32.892 eV per atom

a = 8.260 Å, b = 8.260 Å, c = 8.260 Å
α = 149.24°, β = 131.27°, γ = 58.74°
Sites, in units of the cell vectors:
Er1 0.000 0.000 0.000
Er2 0.369 0.869 0.500
Er3 0.631 0.131 0.500
Cu1 0.017 0.329 0.689
Cu2 0.360 0.671 0.689
Cu3 0.640 0.329 0.311
Cu4 0.983 0.671 0.311
Sn1 0.216 0.216 0.000
Sn2 0.296 0.500 0.796
Sn3 0.704 0.500 0.204
Sn4 0.784 0.784 0.000